This record from Alexandria via LeMat-Bulk describes a geometry-optimized Y3TmNi structure. The functional is GGA-PBE.

Output
DFT formation energy, eV per formula unit: -0.607
Total moment, μB per formula unit: 0.49
Energy relative to the lowest polymorph listed for this composition, meV per atom: 54
Calculated volume, Å³ per atom: 28.5

Cell and atoms, written as CIF:
```
data_Y3TmNi
_space_group_name_H-M_alt 'C 1 2/m 1'
_space_group_IT_number 12
_cell_length_a 11.539
_cell_length_b 8.528
_cell_length_c 8.036
_cell_angle_alpha 90.00
_cell_angle_beta 133.92
_cell_angle_gamma 90.00
loop_
_space_group_symop_operation_xyz
'x,y,z'
'-x,-y,-z'
'-x,y,-z'
'x,-y,z'
'x+1/2,y+1/2,z'
'-x+1/2,-y+1/2,-z'
'-x+1/2,y+1/2,-z'
'x+1/2,-y+1/2,z'
loop_
_atom_site_label
_atom_site_fract_x
_atom_site_fract_y
_atom_site_fract_z
Y1 0.048 0.000 0.335
Y2 0.245 0.300 0.783
Tm1 0.050 0.500 0.256
Ni1 0.246 0.500 0.130
```

This record from Alexandria via LeMat-Bulk describes a geometry-optimized SmDy5Ho5 structure. The functional is GGA-PBE.

Output
DFT formation energy, eV per formula unit: 3.562
Total moment, μB per formula unit: 0.00
Calculated volume, Å³ per atom: 33.2

Cell and atoms, written as CIF:
```
data_SmDy5Ho5
_space_group_name_H-M_alt 'P -6 m 2'
_space_group_IT_number 187
_space_group_name_Hall 'P -6 2'
_cell_length_a 6.0436
_cell_length_b 6.0436
_cell_length_c 11.5389
_cell_angle_alpha 90.00
_cell_angle_beta 90.00
_cell_angle_gamma 120.00
loop_
_atom_site_label
_atom_site_fract_x
_atom_site_fract_y
_atom_site_fract_z
Sm1 0.0000 0.0000 0.0000
Dy1 0.0000 0.0000 0.3225
Dy2 0.3333 0.6667 0.1571
Dy3 0.6667 0.3333 0.0000
Ho1 0.0017 0.5009 0.5000
Ho2 0.6667 0.3333 0.2648
```

This record from Alexandria via LeMat-Bulk describes a geometry-optimized LiTbNdTm structure. The functional is GGA-PBE.

Output
DFT formation energy, eV per formula unit: 0.628
Total moment, μB per formula unit: 0.00
Calculated volume, Å³ per atom: 29.6

Cell and atoms, written as CIF:
```
data_LiTbNdTm
_space_group_name_H-M_alt 'F -4 3 m'
_space_group_IT_number 216
_space_group_name_Hall 'F -4 2 3'
_cell_length_a 7.797
_cell_length_b 7.797
_cell_length_c 7.797
_cell_angle_alpha 90.00
_cell_angle_beta 90.00
_cell_angle_gamma 90.00
loop_
_atom_site_label
_atom_site_fract_x
_atom_site_fract_y
_atom_site_fract_z
Li1 0.000 0.000 0.000
Tb1 0.250 0.250 0.250
Nd1 0.250 0.250 0.750
Tm1 0.000 0.000 0.500
```

This record from Alexandria via LeMat-Bulk describes a geometry-optimized CaPaSbO6 structure. The functional is GGA-PBE.

Output
Total moment, μB per formula unit: 0.00
Total DFT energy (no corrections), eV per atom: -7.68
Calculated volume, Å³ per atom: 14.0

Cell and atoms, written as CIF:
```
data_CaPaSbO6
_space_group_name_H-M_alt 'P -3 1 c'
_space_group_IT_number 163
_space_group_name_Hall '-P 3 2c'
_cell_length_a 5.5332
_cell_length_b 5.5332
_cell_length_c 9.4811
_cell_angle_alpha 90.00
_cell_angle_beta 90.00
_cell_angle_gamma 120.00
loop_
_atom_site_label
_atom_site_fract_x
_atom_site_fract_y
_atom_site_fract_z
Ca1 0.3333 0.6667 0.2500
Pa1 0.0000 0.0000 0.0000
Sb1 0.3333 0.6667 0.7500
O1 0.0462 0.3523 0.6293
```

This record from Alexandria via LeMat-Bulk describes a geometry-optimized Ca2RuC structure. The functional is GGA-PBE.

Output
DFT formation energy, eV per formula unit: 0.235
Total moment, μB per formula unit: 0.00
Calculated volume, Å³ per atom: 24.0

Cell and atoms, written as CIF:
```
data_Ca2RuC
_space_group_name_H-M_alt 'I -4 2 d'
_space_group_IT_number 122
_space_group_name_Hall 'I -4 2bw'
_cell_length_a 9.931
_cell_length_b 9.931
_cell_length_c 3.892
_cell_angle_alpha 90.00
_cell_angle_beta 90.00
_cell_angle_gamma 90.00
loop_
_atom_site_label
_atom_site_fract_x
_atom_site_fract_y
_atom_site_fract_z
Ca1 0.062 0.250 0.125
Ru1 0.000 0.000 0.500
C1 0.000 0.000 0.000
```

This record from Alexandria via LeMat-Bulk describes a geometry-optimized Nd3TmS structure. The functional is GGA-PBE.

Output
Total moment, μB per formula unit: 0.00
Total DFT energy (no corrections), eV per atom: -5.24
Calculated volume, Å³ per atom: 33.0

Cell and atoms, written as CIF:
```
data_Nd3TmS
_space_group_name_H-M_alt 'P m -3 m'
_space_group_IT_number 221
_space_group_name_Hall '-P 4 2 3'
_cell_length_a 5.483
_cell_length_b 5.483
_cell_length_c 5.483
_cell_angle_alpha 90.00
_cell_angle_beta 90.00
_cell_angle_gamma 90.00
loop_
_atom_site_label
_atom_site_fract_x
_atom_site_fract_y
_atom_site_fract_z
Nd1 0.000 0.000 0.500
Tm1 0.500 0.500 0.500
S1 0.000 0.000 0.000
```